LiNdSb (PBE, relaxed); formation energy (no corrections) = -0.657 eV/atom; volume = 30.03 Å³/atom; crystal system = cubic; symmetry = F-43m
1.0
5.032 0.000 0.000
2.516 4.358 0.000
2.516 1.453 4.109
Li Sb Nd
1 1 1
direct
0.500 0.500 0.500 Li
0.250 0.250 0.250 Sb
0.000 0.000 0.000 Nd